# Be2GeO4 PBE optimized geometry
data_Be2GeO4
_cell_length_a 3.9700
_cell_length_b 3.9700
_cell_length_c 8.3121
_cell_angle_alpha 90.00
_cell_angle_beta 90.00
_cell_angle_gamma 90.00
_symmetry_space_group_name_H-M 'I -4 2 m'
_symmetry_Int_Tables_number 121
_symmetry_space_group_name_Hall 'I -4 2'
loop_
_atom_site_label
_atom_site_type_symbol
_atom_site_fract_x
_atom_site_fract_y
_atom_site_fract_z
Be1 Be 0.0000 0.5000 0.2500
Ge1 Ge 0.0000 0.0000 0.0000
O1 O 0.2389 0.2389 0.8593
# Polymorph energy (0 for the lowest one), meV/atom: 111
# ρ, g cm⁻³: 3.92
# Total magnetic moment, μB per formula unit: 0.0
# Formation energy from raw total energies, eV per atom: -2.189
# E_tot, eV/atom: -6.747